VASP calculation (GGA-PBE) on a relaxed structure of Na2DyCrS4.

Cell and atoms, written as POSCAR:
```
Na2DyCrS4
1.0
6.509 0.000 0.000
0.000 3.801 0.000
-2.213 0.000 6.651
Na Dy Cr S
2 1 1 4
direct
0.000 0.000 0.000
0.500 0.500 0.000
0.000 0.500 0.500
0.500 0.000 0.500
0.264 0.000 0.721
0.290 0.500 0.294
0.710 0.500 0.706
0.736 0.000 0.279
```

Values from the calculation:
crystal system = monoclinic
total moment = 2.998 μB per cell
calculated volume = 164.5 Å³/cell
formation energy (no corrections) = -1.334 eV/atom
uncorrected energy = -5.505 eV per atom